This record from the Alexandria database describes crystalline UAlV2 at its relaxed geometry. The functional is PBE.

Results
The energy above the lowest structure with this stoichiometry is 0.000 eV per atom. The formation enthalpy at 0 K is -0.01 eV/atom. The electronic total energy comes out at -0.61216 Ry/atom.

a b c (Å): 3.325 4.366 4.366
angles (deg): 90.00 90.00 90.00
Fractional coordinates of all 4 atoms:
1 U 0.500 0.500 0.500
2 Al 0.500 0.000 0.000
3 V 0.000 0.000 0.500
4 V 0.000 0.500 0.000